Entry 1:
DFT (GGA-PBE) results for a geometry-optimized ScCr2PCl structure.

Structure (CIF):
```
data_ScCr2PCl
_chemical_formula_sum 'Sc1 Cr2 P1 Cl1'
_symmetry_space_group_name_H-M 'P 1'
_symmetry_Int_Tables_number 1
_cell_length_a 4.6559
_cell_length_b 5.0926
_cell_length_c 4.6559
_cell_angle_alpha 90.00
_cell_angle_beta 90.00
_cell_angle_gamma 90.00
loop_
_symmetry_equiv_pos_as_xyz
'x,y,z'
loop_
_atom_site_label
_atom_site_type_symbol
_atom_site_fract_x
_atom_site_fract_y
_atom_site_fract_z
Sc1 Sc 0.0000 0.5000 0.0000
Cr1 Cr 0.0000 0.0000 0.5000
Cr2 Cr 0.5000 0.0000 0.0000
P1 P 0.0000 0.0000 0.0000
Cl1 Cl 0.5000 0.5000 0.5000
```

Properties
V   22.1 A^3/atom

***

Entry 2:
DFT (GGA-PBE) results for a geometry-optimized ScCrPCl2 structure.

Structure (CIF):
```
data_ScCrPCl2
_chemical_formula_sum 'Sc1 Cr1 P1 Cl2'
_symmetry_space_group_name_H-M 'P 1'
_symmetry_Int_Tables_number 1
_cell_length_a 4.5566
_cell_length_b 4.5566
_cell_length_c 5.0741
_cell_angle_alpha 90.00
_cell_angle_beta 90.00
_cell_angle_gamma 90.00
loop_
_symmetry_equiv_pos_as_xyz
'x,y,z'
loop_
_atom_site_label
_atom_site_type_symbol
_atom_site_fract_x
_atom_site_fract_y
_atom_site_fract_z
Sc1 Sc 0.5000 0.5000 0.5000
Cr1 Cr 0.0000 0.0000 0.0000
P1 P 0.0000 0.0000 0.5000
Cl1 Cl 0.0000 0.5000 0.0000
Cl2 Cl 0.5000 0.0000 0.0000
```

Properties
Offset from the most stable computed form   51 meV per atom
V   21.1 A^3/atom

***

Entry 3:
DFT (GGA-PBE) results for a geometry-optimized CrPSeCl2 structure.

Structure (CIF):
```
data_CrPSeCl2
_chemical_formula_sum 'Cr1 P1 Se1 Cl2'
_symmetry_space_group_name_H-M 'P 1'
_symmetry_Int_Tables_number 1
_cell_length_a 4.8579
_cell_length_b 4.8579
_cell_length_c 5.1936
_cell_angle_alpha 90.00
_cell_angle_beta 90.00
_cell_angle_gamma 90.00
loop_
_symmetry_equiv_pos_as_xyz
'x,y,z'
loop_
_atom_site_label
_atom_site_type_symbol
_atom_site_fract_x
_atom_site_fract_y
_atom_site_fract_z
Cr1 Cr 0.5000 0.5000 0.5000
P1 P 0.0000 0.0000 0.5000
Se1 Se 0.0000 0.0000 0.0000
Cl1 Cl 0.0000 0.5000 0.0000
Cl2 Cl 0.5000 0.0000 0.0000
```

Properties
Offset from the most stable computed form   431 meV per atom
V   24.5 A^3/atom

***

Entry 4:
DFT (GGA-PBE) results for a geometry-optimized CrP2SeCl structure.

Structure (CIF):
```
data_CrP2SeCl
_chemical_formula_sum 'Cr1 P2 Se1 Cl1'
_symmetry_space_group_name_H-M 'P 1'
_symmetry_Int_Tables_number 1
_cell_length_a 4.5945
_cell_length_b 4.5945
_cell_length_c 4.3400
_cell_angle_alpha 90.00
_cell_angle_beta 90.00
_cell_angle_gamma 90.00
loop_
_symmetry_equiv_pos_as_xyz
'x,y,z'
loop_
_atom_site_label
_atom_site_type_symbol
_atom_site_fract_x
_atom_site_fract_y
_atom_site_fract_z
Cr1 Cr 0.0000 0.0000 0.0000
P1 P 0.0000 0.5000 0.0000
P2 P 0.5000 0.0000 0.0000
Se1 Se 0.5000 0.5000 0.5000
Cl1 Cl 0.0000 0.0000 0.5000
```

Properties
Offset from the most stable computed form   0 meV per atom
V   18.3 A^3/atom

***

Entry 5:
DFT (GGA-PBE) results for a geometry-optimized CrPSeCl2 structure.

Structure (CIF):
```
data_CrPSeCl2
_chemical_formula_sum 'Cr1 P1 Se1 Cl2'
_symmetry_space_group_name_H-M 'P 1'
_symmetry_Int_Tables_number 1
_cell_length_a 4.3577
_cell_length_b 4.3577
_cell_length_c 5.0955
_cell_angle_alpha 90.00
_cell_angle_beta 90.00
_cell_angle_gamma 90.00
loop_
_symmetry_equiv_pos_as_xyz
'x,y,z'
loop_
_atom_site_label
_atom_site_type_symbol
_atom_site_fract_x
_atom_site_fract_y
_atom_site_fract_z
Cr1 Cr 0.0000 0.0000 0.0000
P1 P 0.0000 0.0000 0.5000
Se1 Se 0.5000 0.5000 0.5000
Cl1 Cl 0.0000 0.5000 0.0000
Cl2 Cl 0.5000 0.0000 0.0000
```

Properties
Offset from the most stable computed form   0 meV per atom
V   19.4 A^3/atom

***

Entry 6:
DFT (GGA-PBE) results for a geometry-optimized CrSnP2Cl structure.

Structure (CIF):
```
data_CrSnP2Cl
_chemical_formula_sum 'Cr1 Sn1 P2 Cl1'
_symmetry_space_group_name_H-M 'P 1'
_symmetry_Int_Tables_number 1
_cell_length_a 4.4356
_cell_length_b 4.4356
_cell_length_c 5.1297
_cell_angle_alpha 90.00
_cell_angle_beta 90.00
_cell_angle_gamma 90.00
loop_
_symmetry_equiv_pos_as_xyz
'x,y,z'
loop_
_atom_site_label
_atom_site_type_symbol
_atom_site_fract_x
_atom_site_fract_y
_atom_site_fract_z
Cr1 Cr 0.0000 0.0000 0.0000
Sn1 Sn 0.5000 0.5000 0.5000
P1 P 0.0000 0.5000 0.0000
P2 P 0.5000 0.0000 0.0000
Cl1 Cl 0.0000 0.0000 0.5000
```

Properties
Offset from the most stable computed form   0 meV per atom
V   20.2 A^3/atom

***

Entry 7:
DFT (GGA-PBE) results for a geometry-optimized CrSnPCl2 structure.

Structure (CIF):
```
data_CrSnPCl2
_chemical_formula_sum 'Cr1 Sn1 P1 Cl2'
_symmetry_space_group_name_H-M 'P 1'
_symmetry_Int_Tables_number 1
_cell_length_a 4.6675
_cell_length_b 4.6675
_cell_length_c 5.0509
_cell_angle_alpha 90.00
_cell_angle_beta 90.00
_cell_angle_gamma 90.00
loop_
_symmetry_equiv_pos_as_xyz
'x,y,z'
loop_
_atom_site_label
_atom_site_type_symbol
_atom_site_fract_x
_atom_site_fract_y
_atom_site_fract_z
Cr1 Cr 0.0000 0.0000 0.0000
Sn1 Sn 0.5000 0.5000 0.5000
P1 P 0.0000 0.0000 0.5000
Cl1 Cl 0.0000 0.5000 0.0000
Cl2 Cl 0.5000 0.0000 0.0000
```

Properties
Offset from the most stable computed form   0 meV per atom
V   22.0 A^3/atom

***

Entry 8:
DFT (GGA-PBE) results for a geometry-optimized CrSnP2Cl structure.

Structure (CIF):
```
data_CrSnP2Cl
_chemical_formula_sum 'Cr1 Sn1 P2 Cl1'
_symmetry_space_group_name_H-M 'P 1'
_symmetry_Int_Tables_number 1
_cell_length_a 5.0676
_cell_length_b 5.0676
_cell_length_c 5.1050
_cell_angle_alpha 90.00
_cell_angle_beta 90.00
_cell_angle_gamma 90.00
loop_
_symmetry_equiv_pos_as_xyz
'x,y,z'
loop_
_atom_site_label
_atom_site_type_symbol
_atom_site_fract_x
_atom_site_fract_y
_atom_site_fract_z
Cr1 Cr 0.5000 0.5000 0.5000
Sn1 Sn 0.0000 0.0000 0.0000
P1 P 0.0000 0.5000 0.0000
P2 P 0.5000 0.0000 0.0000
Cl1 Cl 0.0000 0.0000 0.5000
```

Properties
Offset from the most stable computed form   704 meV per atom
V   26.2 A^3/atom

***

no.,formation energy (no corrections) (meV/atom)
1,77
2,-385
3,685
4,393
5,254
6,159
7,-207
8,863